No. 1
5
Lattice="4.753 0.000 0.000 0.000 4.591 0.000 0.000 0.000 4.753" Properties=species:S:1:pos:R:3 comment="HfMg2CrGe PBE-GGA optimized geometry" ef_kj_per_mol_atoms=77 crystal_system=tetragonal n_ef_per_ev_atom=1.0293 pbc="T T T"
Cr 0.000 2.296 0.000
Ge 0.000 0.000 0.000
Hf 2.376 2.296 2.376
Mg 0.000 0.000 2.376
Mg 2.376 0.000 0.000

No. 2
19
Lattice="7.440 0.049 0.069 -1.797 7.220 0.069 -1.797 -2.314 6.840" Properties=species:S:1:pos:R:3 comment="Ta6PbS12 PBE-GGA optimized geometry" formation_energy_uncorrected_ev_per_atom=-0.497 crystal_system=trigonal n_ef_per_ev_atom=0.8334 pbc="T T T"
Ta 3.886 1.233 1.736
Ta 0.231 0.297 4.415
Ta 0.231 4.071 1.736
Ta 3.616 4.657 2.562
Ta -0.040 3.722 5.242
Ta 3.616 0.884 5.242
Pb 0.000 0.000 0.000
S 5.363 -0.193 3.489
S 4.193 2.687 3.784
S 1.564 2.015 5.711
S 2.283 0.227 3.193
S 2.283 2.940 1.267
S -0.346 2.268 3.193
S -1.516 1.597 6.010
S 1.923 6.028 0.968
S -1.516 5.148 3.489
S 5.363 3.358 0.968
S 1.923 -1.073 6.010
S 1.564 4.728 3.784

No. 3
10
Lattice="-1.352 -3.505 2.048 3.931 -1.669 -0.262 2.524 4.477 9.331" Properties=species:S:1:pos:R:3 comment="Sm2Ga4AgPt3 PBE-GGA optimized geometry" ef_kj_per_mol_atoms=-80 crystal_system=tetragonal n_ef_per_ev_atom=0.6982 pbc="T T T"
Sm -0.071 -0.679 3.261
Sm 3.884 2.569 6.963
Ga 1.289 -2.587 0.893
Ga 0.000 0.000 0.000
Ga 0.929 1.095 6.960
Ga 2.884 0.794 3.264
Ag 2.551 -0.349 5.558
Pt 1.262 2.239 4.666
Pt 1.515 2.134 9.124
Pt 2.298 -0.244 1.100